Version w
Material: Tb2Y7Er3
Method: DFT, PBE
State: optimized geometry

Lattice parameters (Å, degrees): 3.512 6.328 17.887 75.50 90.00 90.00
Fractional coordinates of all 12 atoms:
1 Tb 0.500 0.612 0.327
2 Tb 0.500 0.388 0.673
3 Y 0.500 0.242 0.502
4 Y 0.500 0.758 0.498
5 Y 0.000 0.559 0.165
6 Y 0.000 0.000 0.000
7 Y 0.000 0.441 0.835
8 Y 0.500 0.943 0.831
9 Y 0.500 0.057 0.169
10 Er 0.500 0.500 0.000
11 Er 0.000 0.108 0.342
12 Er 0.000 0.892 0.658

***

Version x
Material: Tb2Y7Er3
Method: DFT, PBE
State: optimized geometry

Lattice parameters (Å, degrees): 3.581 5.774 18.632 93.66 90.00 90.00
Fractional coordinates of all 12 atoms:
1 Tb 0.500 0.705 0.295
2 Tb 0.500 0.295 0.705
3 Y 0.500 0.742 0.463
4 Y 0.500 0.258 0.537
5 Y 0.000 0.679 0.143
6 Y 0.000 0.000 0.000
7 Y 0.000 0.321 0.857
8 Y 0.500 0.817 0.820
9 Y 0.500 0.183 0.180
10 Er 0.500 0.500 0.000
11 Er 0.000 0.219 0.368
12 Er 0.000 0.781 0.632

***

Relative energy table, unit meV per atom: version w 0; version x 10

***

Version w
Material: TbYEr3
Method: DFT, PBE
State: optimized geometry

Lattice parameters (Å, degrees): 9.547 6.242 6.664 62.16 95.91 70.91
Fractional coordinates of all 10 atoms:
1 Tb 0.249 0.281 0.250
2 Tb 0.751 0.119 0.750
3 Y 0.650 0.083 0.253
4 Y 0.350 0.317 0.747
5 Er 0.149 0.916 0.750
6 Er 0.950 0.516 0.751
7 Er 0.450 0.684 0.248
8 Er 0.550 0.716 0.752
9 Er 0.050 0.885 0.249
10 Er 0.851 0.484 0.250

***

Version x
Material: TbYEr3
Method: DFT, PBE
State: optimized geometry

Lattice parameters (Å, degrees): 6.503 10.015 10.015 81.38 79.88 79.88
Fractional coordinates of all 20 atoms:
1 Tb 0.750 0.922 0.078
2 Tb 0.250 0.078 0.922
3 Tb 0.750 0.184 0.816
4 Tb 0.250 0.816 0.184
5 Y 0.548 0.524 0.677
6 Y 0.952 0.323 0.476
7 Y 0.452 0.476 0.323
8 Y 0.048 0.677 0.524
9 Er 0.148 0.723 0.877
10 Er 0.352 0.123 0.277
11 Er 0.852 0.277 0.123
12 Er 0.648 0.877 0.723
13 Er 0.350 0.385 0.016
14 Er 0.150 0.984 0.615
15 Er 0.650 0.615 0.984
16 Er 0.850 0.016 0.385
17 Er 0.050 0.415 0.787
18 Er 0.450 0.213 0.585
19 Er 0.950 0.585 0.213
20 Er 0.550 0.787 0.415

***

Relative energy table, unit meV per atom: version w 0; version x 40